# 1
This record from Alexandria describes CsSrOF after structural relaxation. The functional is PBE-GGA.

The value obtained for the energy relative to the elements, uncorrected is -2.450 eV per atom. As for the raw total energy: -0.1761 Ha/atom.

The structure belongs to space group R-3m (No. 166, hexagonal axes); the cell edges are 4.4295, 4.4295 and 36.8831 Å and the angles 90.00°, 90.00° and 120.00°. Symmetry generates all atoms from Cs at (0.0000, 0.0000, 0.2169), Sr at (0.0000, 0.0000, 0.3668), O at (0.0000, 0.0000, 0.3019) and F at (0.0000, 0.0000, 0.0971).


# 2
This record from Alexandria describes KSr2NdTe4 after structural relaxation. The functional is PBE-GGA.

The value obtained for the energy relative to the elements, uncorrected is -1.524 eV per atom. As for the raw total energy: -0.1561 Ha/atom.

The structure belongs to space group P2/m (No. 10); the cell edges are 8.0944, 4.7167 and 8.2630 Å and the angles 90.00°, 108.56° and 90.00°. Symmetry generates all atoms from K at (0.0000, 0.0000, 0.0000), Sr at (0.5000, 0.0000, 0.5000), Sr at (0.5000, 0.5000, 0.0000), Nd at (0.0000, 0.5000, 0.5000), Te at (0.2402, 0.0000, 0.7346) and Te at (0.2509, 0.5000, 0.2681).


# 3
This record from Alexandria describes Pm2Al3Mo after structural relaxation. The functional is PBE-GGA.

The density of states at the Fermi level is 14.69 states/eV per cell. As for the formation energy from the elements: -0.330 eV per atom. As for the raw total energy: -0.2054 Ha/atom.

The structure belongs to space group R-3m (No. 166, hexagonal axes); the cell edges are 5.6926, 5.6926 and 13.5047 Å and the angles 90.00°, 90.00° and 120.00°. Symmetry generates all atoms from Pm at (0.0000, 0.0000, 0.1280), Al at (0.0000, 0.5000, 0.0000) and Mo at (0.0000, 0.0000, 0.5000).


Size of the total moment
In order: 0.0 0.0 0.0
Unit: Bohr magnetons per cell
Calculated density
In order: 4.06 4.82 6.14
Unit: g/cm³